1.
Material: Na2UBe2O6
Method: DFT, GGA-PBE
State: relaxed

## Properties
E, eV per cell: -78.70
Magnetic moment, μB/f.u.: 0.0
Uncorrected formation energy, eV/f.u.: -27.6

a = 5.3469 Å, b = 5.3469 Å, c = 6.0241 Å
α = 90.00°, β = 90.00°, γ = 120.00°
Fractional coordinates of all 11 atoms:
Na 0.6667 0.3333 0.6509
Na 0.3333 0.6667 0.3491
O 0.7261 0.6468 0.2010
O 0.0793 0.7261 0.7990
O 0.6468 0.9207 0.7990
O 0.3532 0.0793 0.2010
O 0.9207 0.2739 0.2010
O 0.2739 0.3532 0.7990
U 0.0000 0.0000 0.0000
Be 0.3333 0.6667 0.8190
Be 0.6667 0.3333 0.1810

***

2.
Material: NaUBe2O6
Method: DFT, GGA-PBE
State: relaxed

## Properties
E, eV per cell: -148.17
Magnetic moment, μB/f.u.: 0.9
Uncorrected formation energy, eV/f.u.: -24.3

a = 5.5359 Å, b = 6.9054 Å, c = 6.9054 Å
α = 85.39°, β = 74.55°, γ = 74.55°
Site moments in Bohr magnetons follow the coordinates.
Fractional coordinates of all 20 atoms:
U 0.2500 0.2877 0.7123  0.08
U 0.7500 0.7123 0.2877  0.08
O 0.6251 0.1939 0.6132  0.10
O 0.7894 0.0086 0.2529  0.16
O 0.2106 0.9914 0.7471  0.16
O 0.2894 0.2529 0.0086  0.16
O 0.3351 0.2900 0.3823  0.10
O 0.1649 0.6177 0.7100  0.10
O 0.6649 0.7100 0.6177  0.10
O 0.3749 0.8061 0.3868  0.10
O 0.8749 0.3868 0.8061  0.10
O 0.1251 0.6132 0.1939  0.10
O 0.7106 0.7471 0.9914  0.16
O 0.8351 0.3823 0.2900  0.10
Be 0.8417 0.6362 0.7785  0.00
Be 0.6583 0.2215 0.3638  0.00
Be 0.1583 0.3638 0.2215  0.00
Be 0.3417 0.7785 0.6362  0.00
Na 0.7500 0.0873 0.9127  0.00
Na 0.2500 0.9127 0.0873  0.00

***

Copy entry 1 word for word.
Material: Na2UBe2O6
Method: DFT, GGA-PBE
State: relaxed

## Properties
E, eV per cell: -78.70
Magnetic moment, μB/f.u.: 0.0
Uncorrected formation energy, eV/f.u.: -27.6

a = 5.3469 Å, b = 5.3469 Å, c = 6.0241 Å
α = 90.00°, β = 90.00°, γ = 120.00°
Fractional coordinates of all 11 atoms:
Na 0.6667 0.3333 0.6509
Na 0.3333 0.6667 0.3491
O 0.7261 0.6468 0.2010
O 0.0793 0.7261 0.7990
O 0.6468 0.9207 0.7990
O 0.3532 0.0793 0.2010
O 0.9207 0.2739 0.2010
O 0.2739 0.3532 0.7990
U 0.0000 0.0000 0.0000
Be 0.3333 0.6667 0.8190
Be 0.6667 0.3333 0.1810

***

Which formula does entry 2 have? NaUBe2O6